BaSr6Hg2 | GGA-PBE | relaxed

a = 4.4631 Å, b = 13.4292 Å, c = 7.6312 Å
α = 73.71°, β = 107.00°, γ = 90.00°
Fractional positions:
Sr  0.7452  0.1376  0.4903
Sr  0.3452  0.5489  0.6904
Sr  0.6548  0.4511  0.3096
Sr  0.9886  0.2798  0.9772
Sr  0.0114  0.7202  0.0228
Sr  0.2548  0.8624  0.5097
Hg  0.6883  0.7065  0.3767
Hg  0.3117  0.2935  0.6233
Ba  0.5000  0.0000  0.0000

Results
- DFT total energy (eV/atom) = -1.641
- energy of formation (eV/atom) = -0.239
- V (Å³ per cell) = 418.1
- density of states at the Fermi level (states/eV/atom) = 1.45
- symmetry = No. 12



CaMg2Tc | GGA-PBE | relaxed

a = 4.7411 Å, b = 2.9354 Å, c = 6.1709 Å
α = 76.86°, β = 90.00°, γ = 90.00°
Fractional positions:
Ca  0.5000  0.7500  0.7500
Mg  0.0000  0.0383  0.0415
Mg  0.0000  0.4617  0.4585
Tc  0.5000  0.2500  0.2500

Results
- DFT total energy (eV/atom) = -3.571
- energy above the lowest structure with this stoichiometry (meV per atom) = 31
- energy of formation (eV/atom) = 0.319
- V (Å³ per cell) = 83.6
- density of states at the Fermi level (states/eV/atom) = 0.84
- symmetry = No. 10



KNiTe2 | GGA-PBE | relaxed

a = 6.8750 Å, b = 6.8750 Å, c = 6.1331 Å
α = 119.60°, β = 119.60°, γ = 33.64°
Fractional positions:
Te  0.8554  0.8554  0.1929
Te  0.7817  0.7817  0.6261
K  0.5452  0.5452  0.7706
Ni  0.3177  0.3177  0.9104

Results
- DFT total energy (eV/atom) = -3.708
- V (Å³ per cell) = 137.6
- density of states at the Fermi level (states/eV/atom) = 0.83
- ΔE_f (raw) (eV per atom) = -0.4171
- symmetry = No. 8



BaNi2Mo | GGA-PBE | relaxed

a = 5.0645 Å, b = 5.0645 Å, c = 8.5500 Å
α = 72.77°, β = 72.77°, γ = 90.00°
Fractional positions:
Ni  0.8750  0.6250  0.7500
Ni  0.3750  0.6250  0.7500
Ni  0.3750  0.6250  0.2500
Ni  0.3750  0.1250  0.2500
Mo  0.5000  0.5000  0.0000
Mo  0.2500  0.7500  0.5000
Ba  0.0000  0.0000  0.0000
Ba  0.7500  0.2500  0.5000

Results
- DFT total energy (eV/atom) = -5.404
- energy above the lowest structure with this stoichiometry (meV per atom) = 446
- energy of formation (eV/atom) = 0.676
- V (Å³ per cell) = 199.1
- density of states at the Fermi level (states/eV/atom) = 0.47
- symmetry = No. 141



KTaAs2Se | GGA-PBE | relaxed

a = 5.0630 Å, b = 5.0630 Å, c = 5.2386 Å
α = 90.00°, β = 90.00°, γ = 90.00°
Fractional positions:
As  0.5000  0.0000  0.0000
As  0.0000  0.5000  0.0000
Ta  0.5000  0.5000  0.5000
K  0.0000  0.0000  0.0000
Se  0.0000  0.0000  0.5000

Results
- DFT total energy (eV/atom) = -3.114
- energy above the lowest structure with this stoichiometry (meV per atom) = 2341
- V (Å³ per cell) = 134.3
- density of states at the Fermi level (states/eV/atom) = 1.57
- ΔE_f (raw) (eV per atom) = 2.0332
- symmetry = No. 123



In2AsN | GGA-PBE | relaxed

a = 5.6570 Å, b = 5.6570 Å, c = 6.7638 Å
α = 65.28°, β = 65.28°, γ = 90.00°
Fractional positions:
As  0.0000  0.0000  0.0000
As  0.7500  0.2500  0.5000
In  0.8750  0.8093  0.7500
In  0.1907  0.6250  0.2500
In  0.3750  0.4407  0.7500
In  0.5593  0.1250  0.2500
N  0.2500  0.7500  0.5000
N  0.5000  0.5000  0.0000

Results
- DFT total energy (eV/atom) = -4.586
- energy above the lowest structure with this stoichiometry (meV per atom) = 0
- V (Å³ per cell) = 174.5
- density of states at the Fermi level (states/eV/atom) = 0.00
- ΔE_f (raw) (eV per atom) = 0.0264
- symmetry = No. 122



Sr2Al4Ag5 | GGA-PBE | relaxed

a = 5.7673 Å, b = 7.4421 Å, c = 7.1617 Å
α = 73.85°, β = 66.26°, γ = 67.20°
Fractional positions:
Al  0.6284  0.9269  0.8163
Al  0.7721  0.5484  0.9073
Al  0.2279  0.4516  0.0927
Al  0.3716  0.0731  0.1837
Ag  0.2079  0.2404  0.8351
Ag  0.0000  0.5000  0.5000
Ag  0.2834  0.7596  0.1649
Ag  0.7166  0.2404  0.8351
Ag  0.7921  0.7596  0.1649
Sr  0.7098  0.2264  0.3540
Sr  0.2902  0.7736  0.6460

Results
- DFT total energy (eV/atom) = -3.094
- energy of formation (eV/atom) = -0.131
- V (Å³ per cell) = 256.7
- density of states at the Fermi level (states/eV/atom) = 0.51
- symmetry = No. 12



Tc4MoRh | GGA-PBE | relaxed

a = 4.3269 Å, b = 5.1363 Å, c = 5.1363 Å
α = 85.68°, β = 65.14°, γ = 114.85°
Fractional positions:
Tc  0.7457  0.9146  0.4186
Tc  0.7457  0.5854  0.0895
Tc  0.2507  0.0909  0.5839
Tc  0.2506  0.4200  0.9132
Mo  0.9981  0.5027  0.5013
Rh  0.4981  0.0026  0.0013

Results
- DFT total energy (eV/atom) = -9.882
- energy above the lowest structure with this stoichiometry (meV per atom) = 0
- energy of formation (eV/atom) = 0.059
- V (Å³ per cell) = 89.5
- density of states at the Fermi level (states/eV/atom) = 0.74
- symmetry = No. 71